(P)
InFe2Br | GGA-PBE | optimized geometry

Properties
The value obtained for the calculated volume is 74.44 Å³/cell.

Unit cell a=3.0658 b=4.4686 c=5.4338 alpha=90.00 beta=90.00 gamma=90.00
Last column: nearest neighbours and their distance in Å.
Positions (direct):
In (0.0000, 0.0000, 0.0000)  4 Fe 2.71
Fe (0.0000, 0.5000, 0.5000)  4 Br 2.71
Fe (0.5000, 0.5000, 0.0000)  4 In 2.71
Br (0.5000, 0.0000, 0.5000)  4 Fe 2.71


(Q)
InFe2Br | GGA-PBE | optimized geometry

Properties
The value obtained for the calculated volume is 70.17 Å³/cell.

Unit cell a=4.6906 b=4.6906 c=3.1894 alpha=90.00 beta=90.00 gamma=90.00
Last column: nearest neighbours and their distance in Å.
Positions (direct):
In (0.0000, 0.0000, 0.0000)  8 Fe 2.84
Fe (0.0000, 0.5000, 0.5000)  4 In 2.84, 4 Br 2.84
Fe (0.5000, 0.0000, 0.5000)  4 In 2.84, 4 Br 2.84
Br (0.5000, 0.5000, 0.0000)  8 Fe 2.84


Compare the structures above. Which one is the least stable? (Q) is.